Entry 1:
First-principles (SCAN) data for a PBEsol-optimized structure of ScPbO2, as listed in Alexandria via LeMat-Bulk.

Structure (CIF):
```
data_ScPbO2
_chemical_formula_sum 'Sc1 Pb1 O2'
_cell_length_a 3.231
_cell_length_b 3.231
_cell_length_c 7.123
_cell_angle_alpha 76.89
_cell_angle_beta 76.89
_cell_angle_gamma 60.00
_space_group_name_H-M_alt 'P 1'
_space_group_IT_number 1
loop_
_space_group_symop_operation_xyz
'x,y,z'
loop_
_atom_site_label
_atom_site_type_symbol
_atom_site_fract_x
_atom_site_fract_y
_atom_site_fract_z
Pb1 Pb 0.000 0.000 0.000
Sc1 Sc 0.500 0.500 0.500
O1 O 0.883 0.883 0.350
O2 O 0.117 0.117 0.650
```

Summary:
DOS at the Fermi energy (states/eV/atom): 0.12
Space group: R-3m

=====

Entry 2:
First-principles (SCAN) data for a PBEsol-optimized structure of ScTaPb2O6, as listed in Alexandria via LeMat-Bulk.

Structure (CIF):
```
data_ScTaPb2O6
_chemical_formula_sum 'Sc1 Ta1 Pb2 O6'
_cell_length_a 5.733
_cell_length_b 5.733
_cell_length_c 5.733
_cell_angle_alpha 60.00
_cell_angle_beta 60.00
_cell_angle_gamma 60.00
_space_group_name_H-M_alt 'P 1'
_space_group_IT_number 1
loop_
_space_group_symop_operation_xyz
'x,y,z'
loop_
_atom_site_label
_atom_site_type_symbol
_atom_site_fract_x
_atom_site_fract_y
_atom_site_fract_z
Sc1 Sc 0.000 0.000 0.000
Ta1 Ta 0.500 0.500 0.500
Pb1 Pb 0.250 0.250 0.250
Pb2 Pb 0.750 0.750 0.750
O1 O 0.744 0.744 0.256
O2 O 0.256 0.256 0.744
O3 O 0.256 0.744 0.256
O4 O 0.744 0.256 0.744
O5 O 0.256 0.744 0.744
O6 O 0.744 0.256 0.256
```

Summary:
DOS at the Fermi energy (states/eV/atom): 0.00
Space group: Fm-3m

=====

Entry 3:
First-principles (SCAN) data for a PBEsol-optimized structure of PbSeO2, as listed in Alexandria via LeMat-Bulk.

Structure (CIF):
```
data_PbSeO2
_chemical_formula_sum 'Pb1 Se1 O2'
_cell_length_a 3.344
_cell_length_b 3.344
_cell_length_c 7.178
_cell_angle_alpha 76.53
_cell_angle_beta 76.53
_cell_angle_gamma 60.00
_space_group_name_H-M_alt 'P 1'
_space_group_IT_number 1
loop_
_space_group_symop_operation_xyz
'x,y,z'
loop_
_atom_site_label
_atom_site_type_symbol
_atom_site_fract_x
_atom_site_fract_y
_atom_site_fract_z
Pb1 Pb 0.000 0.000 0.000
O1 O 0.880 0.880 0.360
O2 O 0.120 0.120 0.640
Se1 Se 0.500 0.500 0.500
```

Summary:
DOS at the Fermi energy (states/eV/atom): 0.36
Space group: R-3m

=====

Entry 4:
First-principles (SCAN) data for a PBEsol-optimized structure of Pb2SeO, as listed in Alexandria via LeMat-Bulk.

Structure (CIF):
```
data_Pb2SeO
_chemical_formula_sum 'Pb2 Se1 O1'
_cell_length_a 4.912
_cell_length_b 4.912
_cell_length_c 4.912
_cell_angle_alpha 60.00
_cell_angle_beta 60.00
_cell_angle_gamma 60.00
_space_group_name_H-M_alt 'P 1'
_space_group_IT_number 1
loop_
_space_group_symop_operation_xyz
'x,y,z'
loop_
_atom_site_label
_atom_site_type_symbol
_atom_site_fract_x
_atom_site_fract_y
_atom_site_fract_z
Pb1 Pb 0.250 0.250 0.250
Pb2 Pb 0.750 0.750 0.750
O1 O 0.000 0.000 0.000
Se1 Se 0.500 0.500 0.500
```

Summary:
DOS at the Fermi energy (states/eV/atom): 0.35
Space group: Fm-3m

=====

Entry 5:
First-principles (SCAN) data for a PBEsol-optimized structure of VPb2Se3O10, as listed in Alexandria via LeMat-Bulk.

Structure (CIF):
```
data_VPb2Se3O10
_chemical_formula_sum 'V4 Pb8 Se12 O40'
_cell_length_a 5.204
_cell_length_b 11.203
_cell_length_c 15.969
_cell_angle_alpha 90.00
_cell_angle_beta 90.00
_cell_angle_gamma 89.01
_space_group_name_H-M_alt 'P 1'
_space_group_IT_number 1
loop_
_space_group_symop_operation_xyz
'x,y,z'
loop_
_atom_site_label
_atom_site_type_symbol
_atom_site_fract_x
_atom_site_fract_y
_atom_site_fract_z
V1 V 0.249 0.940 0.192
V2 V 0.749 0.440 0.308
V3 V 0.751 0.060 0.808
V4 V 0.251 0.560 0.692
Pb1 Pb 0.258 0.937 0.412
Pb2 Pb 0.758 0.437 0.088
Pb3 Pb 0.742 0.063 0.588
Pb4 Pb 0.242 0.563 0.912
Pb5 Pb 0.251 0.313 0.494
Pb6 Pb 0.751 0.813 0.006
Pb7 Pb 0.749 0.687 0.506
Pb8 Pb 0.249 0.187 0.994
Se1 Se 0.260 0.843 0.626
Se2 Se 0.760 0.343 0.874
Se3 Se 0.740 0.157 0.374
Se4 Se 0.240 0.657 0.126
Se5 Se 0.232 0.588 0.349
Se6 Se 0.732 0.088 0.151
Se7 Se 0.768 0.412 0.651
Se8 Se 0.268 0.912 0.849
Se9 Se 0.252 0.292 0.211
Se10 Se 0.752 0.792 0.289
Se11 Se 0.748 0.708 0.789
Se12 Se 0.248 0.208 0.711
O1 O 0.169 0.693 0.423
O2 O 0.669 0.193 0.077
O3 O 0.831 0.307 0.577
O4 O 0.331 0.807 0.923
O5 O 0.464 0.900 0.550
O6 O 0.964 0.400 0.950
O7 O 0.536 0.100 0.450
O8 O 0.036 0.600 0.050
O9 O 0.451 0.799 0.243
O10 O 0.951 0.299 0.257
O11 O 0.549 0.201 0.757
O12 O 0.049 0.701 0.743
O13 O 0.543 0.544 0.382
O14 O 0.043 0.044 0.118
O15 O 0.457 0.456 0.618
O16 O 0.957 0.956 0.882
O17 O 0.363 0.696 0.616
O18 O 0.863 0.196 0.884
O19 O 0.637 0.304 0.384
O20 O 0.137 0.804 0.116
O21 O 0.020 0.150 0.431
O22 O 0.520 0.650 0.069
O23 O 0.980 0.850 0.569
O24 O 0.480 0.350 0.931
O25 O 0.348 0.030 0.267
O26 O 0.848 0.530 0.233
O27 O 0.652 0.970 0.733
O28 O 0.152 0.470 0.767
O29 O 0.042 0.471 0.386
O30 O 0.542 0.971 0.114
O31 O 0.958 0.529 0.614
O32 O 0.458 0.029 0.886
O33 O 0.678 0.841 0.389
O34 O 0.178 0.341 0.111
O35 O 0.322 0.159 0.611
O36 O 0.822 0.659 0.889
O37 O 0.414 0.417 0.244
O38 O 0.914 0.917 0.256
O39 O 0.586 0.583 0.756
O40 O 0.086 0.083 0.744
```

Summary:
Space group: P2_1/c

=====

Entry 6:
First-principles (SCAN) data for a PBEsol-optimized structure of V2Pb4Se6O21, as listed in Alexandria via LeMat-Bulk.

Structure (CIF):
```
data_V2Pb4Se6O21
_chemical_formula_sum 'V4 Pb8 Se12 O42'
_cell_length_a 8.912
_cell_length_b 8.912
_cell_length_c 13.838
_cell_angle_alpha 107.59
_cell_angle_beta 107.59
_cell_angle_gamma 93.52
_space_group_name_H-M_alt 'P 1'
_space_group_IT_number 1
loop_
_space_group_symop_operation_xyz
'x,y,z'
loop_
_atom_site_label
_atom_site_type_symbol
_atom_site_fract_x
_atom_site_fract_y
_atom_site_fract_z
V1 V 0.322 0.194 0.234
V2 V 0.806 0.678 0.766
V3 V 0.838 0.210 0.266
V4 V 0.790 0.162 0.734
Pb1 Pb 0.849 0.651 0.240
Pb2 Pb 0.349 0.151 0.760
Pb3 Pb 0.359 0.661 0.260
Pb4 Pb 0.339 0.641 0.740
Pb5 Pb 0.138 0.495 0.924
Pb6 Pb 0.505 0.862 0.076
Pb7 Pb 0.964 0.821 0.576
Pb8 Pb 0.179 0.036 0.424
Se1 Se 0.001 0.310 0.097
Se2 Se 0.690 0.999 0.903
Se3 Se 0.653 0.462 0.403
Se4 Se 0.538 0.347 0.597
Se5 Se 0.474 0.344 0.059
Se6 Se 0.656 0.526 0.941
Se7 Se 0.165 0.535 0.441
Se8 Se 0.465 0.835 0.559
Se9 Se 0.068 0.850 0.118
Se10 Se 0.150 0.932 0.882
Se11 Se 0.701 0.983 0.382
Se12 Se 0.017 0.299 0.618
O1 O 0.353 0.134 0.339
O2 O 0.866 0.647 0.661
O3 O 0.763 0.045 0.161
O4 O 0.955 0.237 0.839
O5 O 0.430 0.110 0.162
O6 O 0.890 0.570 0.838
O7 O 0.018 0.199 0.338
O8 O 0.801 0.982 0.662
O9 O 0.122 0.055 0.145
O10 O 0.945 0.878 0.855
O11 O 0.727 0.160 0.355
O12 O 0.840 0.273 0.645
O13 O 0.198 0.349 0.186
O14 O 0.651 0.802 0.814
O15 O 0.762 0.413 0.314
O16 O 0.587 0.238 0.686
O17 O 0.901 0.346 0.191
O18 O 0.654 0.099 0.809
O19 O 0.460 0.405 0.309
O20 O 0.595 0.540 0.691
O21 O 0.999 0.486 0.076
O22 O 0.514 0.001 0.924
O23 O 0.673 0.660 0.424
O24 O 0.340 0.327 0.576
O25 O 0.308 0.272 0.949
O26 O 0.728 0.692 0.051
O27 O 0.109 0.573 0.551
O28 O 0.427 0.891 0.449
O29 O 0.455 0.538 0.113
O30 O 0.462 0.545 0.887
O31 O 0.092 0.676 0.387
O32 O 0.324 0.908 0.613
O33 O 0.629 0.371 0.000
O34 O 0.379 0.621 0.500
O35 O 0.240 0.776 0.112
O36 O 0.224 0.760 0.888
O37 O 0.878 0.914 0.388
O38 O 0.086 0.122 0.612
O39 O 0.070 0.838 0.240
O40 O 0.162 0.930 0.760
O41 O 0.580 0.848 0.260
O42 O 0.152 0.420 0.740
```

Summary:
DOS at the Fermi energy (states/eV/atom): 0.00
Space group: Fdd2

=====

Entry 7:
First-principles (SCAN) data for a PBEsol-optimized structure of V2Pb2Se2O11, as listed in Alexandria via LeMat-Bulk.

Structure (CIF):
```
data_V2Pb2Se2O11
_chemical_formula_sum 'V4 Pb4 Se4 O22'
_cell_length_a 6.799
_cell_length_b 7.142
_cell_length_c 9.784
_cell_angle_alpha 96.79
_cell_angle_beta 93.08
_cell_angle_gamma 95.56
_space_group_name_H-M_alt 'P 1'
_space_group_IT_number 1
loop_
_space_group_symop_operation_xyz
'x,y,z'
loop_
_atom_site_label
_atom_site_type_symbol
_atom_site_fract_x
_atom_site_fract_y
_atom_site_fract_z
V1 V 0.659 0.161 0.450
V2 V 0.341 0.839 0.550
V3 V 0.336 0.945 0.246
V4 V 0.664 0.055 0.754
Pb1 Pb 0.827 0.856 0.101
Pb2 Pb 0.173 0.144 0.899
Pb3 Pb 0.129 0.450 0.255
Pb4 Pb 0.871 0.550 0.745
Se1 Se 0.662 0.341 0.052
Se2 Se 0.338 0.659 0.948
Se3 Se 0.661 0.598 0.403
Se4 Se 0.339 0.402 0.597
O1 O 0.884 0.250 0.079
O2 O 0.116 0.750 0.921
O3 O 0.728 0.532 0.963
O4 O 0.272 0.468 0.037
O5 O 0.545 0.177 0.913
O6 O 0.455 0.823 0.087
O7 O 0.447 0.705 0.368
O8 O 0.553 0.295 0.632
O9 O 0.774 0.598 0.252
O10 O 0.226 0.402 0.748
O11 O 0.532 0.369 0.378
O12 O 0.468 0.631 0.622
O13 O 0.881 0.276 0.469
O14 O 0.119 0.724 0.531
O15 O 0.635 0.027 0.290
O16 O 0.365 0.973 0.710
O17 O 0.134 0.783 0.224
O18 O 0.866 0.217 0.776
O19 O 0.258 0.125 0.175
O20 O 0.742 0.875 0.825
O21 O 0.332 0.026 0.434
O22 O 0.668 0.974 0.566
```

Summary:
DOS at the Fermi energy (states/eV/atom): 0.00
Space group: P-1

=====

Entry 8:
First-principles (SCAN) data for a PBEsol-optimized structure of SiPbO2, as listed in Alexandria via LeMat-Bulk.

Structure (CIF):
```
data_SiPbO2
_chemical_formula_sum 'Si1 Pb1 O2'
_cell_length_a 4.239
_cell_length_b 4.239
_cell_length_c 4.239
_cell_angle_alpha 60.00
_cell_angle_beta 60.00
_cell_angle_gamma 60.00
_space_group_name_H-M_alt 'P 1'
_space_group_IT_number 1
loop_
_space_group_symop_operation_xyz
'x,y,z'
loop_
_atom_site_label
_atom_site_type_symbol
_atom_site_fract_x
_atom_site_fract_y
_atom_site_fract_z
Pb1 Pb 0.500 0.500 0.500
Si1 Si 0.000 0.000 0.000
O1 O 0.250 0.250 0.250
O2 O 0.750 0.750 0.750
```

Summary:
DOS at the Fermi energy (states/eV/atom): 0.03
Space group: Fm-3m

=====

Number 1: ΔE_f (raw) -2.63 eV per atom, size of the total moment 0.00 μB/f.u.. Number 2: ΔE_f (raw) -2.53 eV per atom, size of the total moment 0.00 μB/f.u.. Number 3: ΔE_f (raw) -0.25 eV per atom, size of the total moment 0.00 μB/f.u.. Number 4: ΔE_f (raw) -0.25 eV per atom, size of the total moment 0.00 μB/f.u.. Number 5: ΔE_f (raw) -1.37 eV per atom, size of the total moment 1.00 μB/f.u.. Number 6: ΔE_f (raw) -1.37 eV per atom, size of the total moment 0.00 μB/f.u.. Number 7: ΔE_f (raw) -1.70 eV per atom, size of the total moment 0.00 μB/f.u.. Number 8: ΔE_f (raw) -0.12 eV per atom, size of the total moment 0.00 μB/f.u..